1.
# PBE-GGA Ho3Tm6Th, relaxed
# DOS(E_F) = 18.7 states/eV/f.u.
# Offset from the most stable computed form = 166 meV/atom
# Formation energy = 3.16 eV per formula unit
data_Ho3Tm6Th
_cell_length_a 9.6928
_cell_length_b 9.6928
_cell_length_c 11.6803
_cell_angle_alpha 90.00
_cell_angle_beta 90.00
_cell_angle_gamma 120.00
_symmetry_space_group_name_H-M 'R 3 2'
_symmetry_Int_Tables_number 155
_symmetry_space_group_name_Hall 'R 3 2"'
loop_
_atom_site_label
_atom_site_type_symbol
_atom_site_fract_x
_atom_site_fract_y
_atom_site_fract_z
Ho1 Ho 0.0000 0.0000 0.0000
Ho2 Ho 0.0000 0.0000 0.2424
Tm1 Tm 0.0000 0.3342 0.5000
Tm2 Tm 0.0000 0.6640 0.0000
Th1 Th 0.0000 0.0000 0.5000

=====

2.
# PBE-GGA Ho2Tm6Th, relaxed
# DOS(E_F) = 18.7 states/eV/f.u.
# Offset from the most stable computed form = 361 meV/atom
# Formation energy = 4.36 eV per formula unit
data_Ho2Tm6Th
_cell_length_a 3.4899
_cell_length_b 3.4899
_cell_length_c 47.6341
_cell_angle_alpha 90.00
_cell_angle_beta 90.00
_cell_angle_gamma 120.00
_symmetry_space_group_name_H-M 'P -6 m 2'
_symmetry_Int_Tables_number 187
_symmetry_space_group_name_Hall 'P -6 2'
loop_
_atom_site_label
_atom_site_type_symbol
_atom_site_fract_x
_atom_site_fract_y
_atom_site_fract_z
Ho1 Ho 0.0000 0.0000 0.1797
Tm1 Tm 0.0000 0.0000 0.4399
Tm2 Tm 0.6667 0.3333 0.1214
Tm3 Tm 0.6667 0.3333 0.2379
Th1 Th 0.6667 0.3333 0.5000

=====

3.
# PBE-GGA Ho3TmTh, relaxed
# DOS(E_F) = 6.9 states/eV/f.u.
# Offset from the most stable computed form = 426 meV/atom
# Formation energy = 2.25 eV per formula unit
data_Ho3TmTh
_cell_length_a 5.684
_cell_length_b 11.408
_cell_length_c 6.138
_cell_angle_alpha 90.00
_cell_angle_beta 117.44
_cell_angle_gamma 90.00
_symmetry_space_group_name_H-M 'P 1 21/m 1'
_symmetry_Int_Tables_number 11
_symmetry_space_group_name_Hall '-P 2yb'
loop_
_atom_site_label
_atom_site_type_symbol
_atom_site_fract_x
_atom_site_fract_y
_atom_site_fract_z
Ho1 Ho 0.154 0.009 0.305
Ho2 Ho 0.341 0.750 0.684
Tm1 Tm 0.336 0.250 0.670
Th1 Th 0.026 0.750 0.055

=====

4.
# PBE-GGA Ho3Tm4Th2, relaxed
# DOS(E_F) = 13.6 states/eV/f.u.
# Offset from the most stable computed form = 0 meV/atom
# Formation energy = 0.27 eV per formula unit
data_Ho3Tm4Th2
_cell_length_a 14.954
_cell_length_b 5.003
_cell_length_c 7.861
_cell_angle_alpha 90.00
_cell_angle_beta 108.32
_cell_angle_gamma 90.00
_symmetry_space_group_name_H-M 'C 1 2/m 1'
_symmetry_Int_Tables_number 12
_symmetry_space_group_name_Hall '-C 2y'
loop_
_atom_site_label
_atom_site_type_symbol
_atom_site_fract_x
_atom_site_fract_y
_atom_site_fract_z
Ho1 Ho 0.000 0.000 0.000
Ho2 Ho 0.112 0.000 0.673
Tm1 Tm 0.056 0.500 0.334
Tm2 Tm 0.222 0.000 0.329
Th1 Th 0.168 0.500 0.000

=====

5.
# PBE-GGA HoTm9Th2, relaxed
# DOS(E_F) = 19.7 states/eV/f.u.
# Offset from the most stable computed form = 0 meV/atom
# Formation energy = 0.41 eV per formula unit
data_HoTm9Th2
_cell_length_a 4.964
_cell_length_b 4.964
_cell_length_c 14.879
_cell_angle_alpha 90.00
_cell_angle_beta 90.00
_cell_angle_gamma 90.00
_symmetry_space_group_name_H-M 'P 4/m m m'
_symmetry_Int_Tables_number 123
_symmetry_space_group_name_Hall '-P 4 2'
loop_
_atom_site_label
_atom_site_type_symbol
_atom_site_fract_x
_atom_site_fract_y
_atom_site_fract_z
Ho1 Ho 0.000 0.000 0.000
Tm1 Tm 0.000 0.500 0.167
Tm2 Tm 0.000 0.500 0.500
Tm3 Tm 0.500 0.500 0.000
Tm4 Tm 0.500 0.500 0.333
Th1 Th 0.000 0.000 0.334

=====

6.
# PBE-GGA Ho4TmTh3, relaxed
# DOS(E_F) = 11.1 states/eV/f.u.
# Offset from the most stable computed form = 0 meV/atom
# Formation energy = 0.23 eV per formula unit
data_Ho4TmTh3
_cell_length_a 5.009
_cell_length_b 10.041
_cell_length_c 10.034
_cell_angle_alpha 90.00
_cell_angle_beta 90.00
_cell_angle_gamma 90.00
_symmetry_space_group_name_H-M 'P m m n'
_symmetry_Int_Tables_number 59
loop_
_symmetry_equiv_pos_as_xyz
'x,y,z'
'-x,-y,-z'
'-x+1/2,-y+1/2,z'
'x+1/2,y+1/2,-z'
'x+1/2,-y,-z'
'-x+1/2,y,z'
'-x,y+1/2,-z'
'x,-y+1/2,z'
loop_
_atom_site_label
_atom_site_type_symbol
_atom_site_fract_x
_atom_site_fract_y
_atom_site_fract_z
Ho1 Ho 0.250 0.001 0.127
Ho2 Ho 0.250 0.250 0.874
Ho3 Ho 0.250 0.750 0.871
Tm1 Tm 0.250 0.750 0.376
Th1 Th 0.250 0.250 0.376
Th2 Th 0.250 0.502 0.623

=====

7.
# PBE-GGA Ho4Tm2Th5, relaxed
# DOS(E_F) = 18.7 states/eV/f.u.
# Formation energy = 1.81 eV per formula unit
data_Ho4Tm2Th5
_cell_length_a 23.702
_cell_length_b 3.403
_cell_length_c 8.712
_cell_angle_alpha 90.00
_cell_angle_beta 94.80
_cell_angle_gamma 90.00
_symmetry_space_group_name_H-M 'C 1 2/m 1'
_symmetry_Int_Tables_number 12
_symmetry_space_group_name_Hall '-C 2y'
loop_
_atom_site_label
_atom_site_type_symbol
_atom_site_fract_x
_atom_site_fract_y
_atom_site_fract_z
Ho1 Ho 0.047 0.000 0.364
Ho2 Ho 0.179 0.500 0.475
Tm1 Tm 0.233 0.000 0.824
Th1 Th 0.000 0.500 0.000
Th2 Th 0.090 0.000 0.747
Th3 Th 0.140 0.000 0.114

=====

8.
# PBE-GGA Ho7Tm4Th, relaxed
# DOS(E_F) = 19.8 states/eV/f.u.
# Offset from the most stable computed form = 21 meV/atom
# Formation energy = 1.07 eV per formula unit
data_Ho7Tm4Th
_cell_length_a 6.698
_cell_length_b 6.905
_cell_length_c 8.603
_cell_angle_alpha 79.45
_cell_angle_beta 76.76
_cell_angle_gamma 76.24
_symmetry_space_group_name_H-M 'P -1'
_symmetry_Int_Tables_number 2
_symmetry_space_group_name_Hall '-P 1'
loop_
_atom_site_label
_atom_site_type_symbol
_atom_site_fract_x
_atom_site_fract_y
_atom_site_fract_z
Ho1 Ho 0.000 0.000 0.000
Ho2 Ho 0.179 0.608 0.367
Ho3 Ho 0.323 0.236 0.671
Ho4 Ho 0.480 0.750 0.025
Tm1 Tm 0.186 0.109 0.336
Tm2 Tm 0.341 0.731 0.684
Th1 Th 0.000 0.500 0.000

=====

9.
# PBE-GGA Ho3Tm8Th3, relaxed
# DOS(E_F) = 20.5 states/eV/f.u.
# Formation energy = 2.09 eV per formula unit
data_Ho3Tm8Th3
_cell_length_a 5.574
_cell_length_b 10.593
_cell_length_c 14.838
_cell_angle_alpha 90.00
_cell_angle_beta 90.00
_cell_angle_gamma 90.00
_symmetry_space_group_name_H-M 'I m m m'
_symmetry_Int_Tables_number 71
_symmetry_space_group_name_Hall '-I 2 2'
loop_
_atom_site_label
_atom_site_type_symbol
_atom_site_fract_x
_atom_site_fract_y
_atom_site_fract_z
Ho1 Ho 0.000 0.000 0.000
Ho2 Ho 0.000 0.305 0.000
Tm1 Tm 0.000 0.159 0.223
Tm2 Tm 0.000 0.341 0.397
Th1 Th 0.000 0.000 0.500
Th2 Th 0.000 0.500 0.186

=====

10.
# PBE-GGA HoTm2Th5, relaxed
# DOS(E_F) = 12.7 states/eV/f.u.
# Formation energy = 0.37 eV per formula unit
data_HoTm2Th5
_cell_length_a 7.106
_cell_length_b 14.245
_cell_length_c 5.018
_cell_angle_alpha 90.00
_cell_angle_beta 90.00
_cell_angle_gamma 90.00
_symmetry_space_group_name_H-M 'P b a m'
_symmetry_Int_Tables_number 55
_symmetry_space_group_name_Hall '-P 2 2ab'
loop_
_atom_site_label
_atom_site_type_symbol
_atom_site_fract_x
_atom_site_fract_y
_atom_site_fract_z
Ho1 Ho 0.000 0.000 0.000
Tm1 Tm 0.249 0.374 0.500
Th1 Th 0.000 0.500 0.000
Th2 Th 0.001 0.750 0.000
Th3 Th 0.247 0.627 0.500

=====

11.
# PBE-GGA Ho5TmTh2, relaxed
# DOS(E_F) = 13.7 states/eV/f.u.
# Offset from the most stable computed form = 0 meV/atom
# Formation energy = 0.79 eV per formula unit
data_Ho5TmTh2
_cell_length_a 3.498
_cell_length_b 11.114
_cell_length_c 13.111
_cell_angle_alpha 90.00
_cell_angle_beta 90.00
_cell_angle_gamma 90.00
_symmetry_space_group_name_H-M 'I m m m'
_symmetry_Int_Tables_number 71
_symmetry_space_group_name_Hall '-I 2 2'
loop_
_atom_site_label
_atom_site_type_symbol
_atom_site_fract_x
_atom_site_fract_y
_atom_site_fract_z
Ho1 Ho 0.000 0.000 0.000
Ho2 Ho 0.000 0.265 0.370
Tm1 Tm 0.000 0.500 0.000
Th1 Th 0.000 0.000 0.258

=====

12.
# PBE-GGA Ho2Tm4Th3, relaxed
# DOS(E_F) = 17.8 states/eV/f.u.
# Formation energy = 0.72 eV per formula unit
data_Ho2Tm4Th3
_cell_length_a 3.5353
_cell_length_b 3.5353
_cell_length_c 26.1897
_cell_angle_alpha 90.00
_cell_angle_beta 90.00
_cell_angle_gamma 120.00
_symmetry_space_group_name_H-M 'P 3 m 1'
_symmetry_Int_Tables_number 156
_symmetry_space_group_name_Hall 'P 3 -2"'
loop_
_atom_site_label
_atom_site_type_symbol
_atom_site_fract_x
_atom_site_fract_y
_atom_site_fract_z
Ho1 Ho 0.0000 0.0000 0.0000
Ho2 Ho 0.0000 0.0000 0.2206
Tm1 Tm 0.0000 0.0000 0.3463
Tm2 Tm 0.0000 0.0000 0.5658
Tm3 Tm 0.3333 0.6667 0.6719
Tm4 Tm 0.3333 0.6667 0.8928
Th1 Th 0.0000 0.0000 0.7824
Th2 Th 0.3333 0.6667 0.1128
Th3 Th 0.3333 0.6667 0.4536

=====

13.
# PBE-GGA Ho9Tm3Th2, relaxed
# DOS(E_F) = 24.5 states/eV/f.u.
# Formation energy = 2.86 eV per formula unit
data_Ho9Tm3Th2
_cell_length_a 16.737
_cell_length_b 10.242
_cell_length_c 5.572
_cell_angle_alpha 90.00
_cell_angle_beta 108.17
_cell_angle_gamma 90.00
_symmetry_space_group_name_H-M 'C 1 m 1'
_symmetry_Int_Tables_number 8
_symmetry_space_group_name_Hall 'C -2y'
loop_
_atom_site_label
_atom_site_type_symbol
_atom_site_fract_x
_atom_site_fract_y
_atom_site_fract_z
Ho1 Ho 0.000 0.000 0.000
Ho2 Ho 0.182 0.168 0.254
Ho3 Ho 0.288 0.164 0.855
Ho4 Ho 0.382 0.330 0.438
Ho5 Ho 0.485 0.171 0.054
Tm1 Tm 0.173 0.500 0.237
Tm2 Tm 0.290 0.500 0.848
Tm3 Tm 0.392 0.000 0.458
Th1 Th 0.095 0.322 0.665

=====

14.
# PBE-GGA HoTm6Th, relaxed
# DOS(E_F) = 12.5 states/eV/f.u.
# Offset from the most stable computed form = 0 meV/atom
# Formation energy = 0.27 eV per formula unit
data_HoTm6Th
_cell_length_a 4.973
_cell_length_b 4.973
_cell_length_c 9.868
_cell_angle_alpha 90.00
_cell_angle_beta 90.00
_cell_angle_gamma 90.00
_symmetry_space_group_name_H-M 'P 4/m m m'
_symmetry_Int_Tables_number 123
_symmetry_space_group_name_Hall '-P 4 2'
loop_
_atom_site_label
_atom_site_type_symbol
_atom_site_fract_x
_atom_site_fract_y
_atom_site_fract_z
Ho1 Ho 0.000 0.000 0.000
Tm1 Tm 0.000 0.500 0.251
Tm2 Tm 0.500 0.500 0.000
Tm3 Tm 0.500 0.500 0.500
Th1 Th 0.000 0.000 0.500

=====

15.
# PBE-GGA HoTm10Th4, relaxed
# DOS(E_F) = 21.7 states/eV/f.u.
# Formation energy = 4.48 eV per formula unit
data_HoTm10Th4
_cell_length_a 11.178
_cell_length_b 11.178
_cell_length_c 7.724
_cell_angle_alpha 90.00
_cell_angle_beta 90.00
_cell_angle_gamma 90.00
_symmetry_space_group_name_H-M 'I 4/m m m'
_symmetry_Int_Tables_number 139
_symmetry_space_group_name_Hall '-I 4 2'
loop_
_atom_site_label
_atom_site_type_symbol
_atom_site_fract_x
_atom_site_fract_y
_atom_site_fract_z
Ho1 Ho 0.000 0.000 0.000
Tm1 Tm 0.000 0.209 0.293
Tm2 Tm 0.000 0.500 0.250
Th1 Th 0.228 0.228 0.000

=====

16.
# PBE-GGA Ho2Tm3Th, relaxed
# DOS(E_F) = 7.8 states/eV/f.u.
# Offset from the most stable computed form = 114 meV/atom
# Formation energy = 1.44 eV per formula unit
data_Ho2Tm3Th
_cell_length_a 9.332
_cell_length_b 12.204
_cell_length_c 6.742
_cell_angle_alpha 90.00
_cell_angle_beta 90.00
_cell_angle_gamma 90.00
_symmetry_space_group_name_H-M 'C m c 21'
_symmetry_Int_Tables_number 36
_symmetry_space_group_name_Hall 'C 2c -2'
loop_
_atom_site_label
_atom_site_type_symbol
_atom_site_fract_x
_atom_site_fract_y
_atom_site_fract_z
Ho1 Ho 0.173 0.150 0.000
Tm1 Tm 0.000 0.351 0.251
Tm2 Tm 0.172 0.116 0.500
Th1 Th 0.000 0.354 0.749

=====

17.
# PBE-GGA Ho15Tm4Th, relaxed
# DOS(E_F) = 27.5 states/eV/f.u.
# Formation energy = 0.51 eV per formula unit
data_Ho15Tm4Th
_cell_length_a 4.986
_cell_length_b 4.986
_cell_length_c 24.840
_cell_angle_alpha 90.00
_cell_angle_beta 90.00
_cell_angle_gamma 90.00
_symmetry_space_group_name_H-M 'P 4/m m m'
_symmetry_Int_Tables_number 123
_symmetry_space_group_name_Hall '-P 4 2'
loop_
_atom_site_label
_atom_site_type_symbol
_atom_site_fract_x
_atom_site_fract_y
_atom_site_fract_z
Ho1 Ho 0.000 0.000 0.000
Ho2 Ho 0.000 0.000 0.202
Ho3 Ho 0.000 0.000 0.400
Ho4 Ho 0.000 0.500 0.100
Ho5 Ho 0.000 0.500 0.300
Ho6 Ho 0.000 0.500 0.500
Tm1 Tm 0.500 0.500 0.200
Tm2 Tm 0.500 0.500 0.400
Th1 Th 0.500 0.500 0.000

=====

18.
# PBE-GGA Ho4Tm7Th, relaxed
# DOS(E_F) = 19.0 states/eV/f.u.
# Offset from the most stable computed form = 0 meV/atom
# Formation energy = 0.99 eV per formula unit
data_Ho4Tm7Th
_cell_length_a 6.680
_cell_length_b 6.892
_cell_length_c 8.562
_cell_angle_alpha 79.21
_cell_angle_beta 77.05
_cell_angle_gamma 76.40
_symmetry_space_group_name_H-M 'P -1'
_symmetry_Int_Tables_number 2
_symmetry_space_group_name_Hall '-P 1'
loop_
_atom_site_label
_atom_site_type_symbol
_atom_site_fract_x
_atom_site_fract_y
_atom_site_fract_z
Ho1 Ho 0.156 0.269 0.318
Ho2 Ho 0.314 0.892 0.666
Tm1 Tm 0.020 0.250 0.976
Tm2 Tm 0.178 0.765 0.326
Tm3 Tm 0.322 0.393 0.635
Tm4 Tm 0.500 0.000 0.000
Th1 Th 0.500 0.500 0.000

=====

19.
# PBE-GGA HoTm4Th4, relaxed
# DOS(E_F) = 14.0 states/eV/f.u.
# Formation energy = 0.36 eV per formula unit
data_HoTm4Th4
_cell_length_a 10.610
_cell_length_b 10.610
_cell_length_c 5.006
_cell_angle_alpha 90.00
_cell_angle_beta 90.00
_cell_angle_gamma 90.00
_symmetry_space_group_name_H-M 'I 4/m m m'
_symmetry_Int_Tables_number 139
_symmetry_space_group_name_Hall '-I 4 2'
loop_
_atom_site_label
_atom_site_type_symbol
_atom_site_fract_x
_atom_site_fract_y
_atom_site_fract_z
Ho1 Ho 0.000 0.000 0.000
Tm1 Tm 0.000 0.331 0.000
Th1 Th 0.166 0.166 0.500

=====

20.
# PBE-GGA Ho4Tm3Th, relaxed
# DOS(E_F) = 12.9 states/eV/f.u.
# Offset from the most stable computed form = 0 meV/atom
# Formation energy = 0.11 eV per formula unit
data_Ho4Tm3Th
_cell_length_a 11.224
_cell_length_b 7.181
_cell_length_c 6.196
_cell_angle_alpha 90.00
_cell_angle_beta 90.00
_cell_angle_gamma 90.00
_symmetry_space_group_name_H-M 'P m n 21'
_symmetry_Int_Tables_number 31
_symmetry_space_group_name_Hall 'P 2ac -2'
loop_
_atom_site_label
_atom_site_type_symbol
_atom_site_fract_x
_atom_site_fract_y
_atom_site_fract_z
Ho1 Ho 0.000 0.126 0.000
Ho2 Ho 0.000 0.871 0.503
Ho3 Ho 0.250 0.127 0.342
Tm1 Tm 0.000 0.378 0.502
Tm2 Tm 0.249 0.378 0.833
Th1 Th 0.000 0.624 0.003